Material: CaMnC3
Method: DFT, PBE
State: relaxed Values from VASP.

Computed properties:
calculated density = 2873 kg/m³
spin magnetization = 0.30 Bohr magnetons per cell
formation enthalpy at 0 K = 3.744 eV/atom
raw total energy = -20.12 eV per cell
energy relative to the lowest polymorph listed for this composition = 2.687 eV per atom

Cell and atoms, written as Quantum ESPRESSO input:
```
&SYSTEM
  ibrav = 0, nat = 5, ntyp = 3
/
ATOMIC_SPECIES
Ca 40.08 Ca.upf
Mn 54.94 Mn.upf
C 12.01 C.upf
CELL_PARAMETERS angstrom
-3.338 -0.945 -2.422
2.141 -3.235 -1.689
-1.474 -2.558 3.030
ATOMIC_POSITIONS crystal
Ca 0.000 0.000 0.000
Mn 0.500 0.500 0.500
C 0.000 0.500 0.000
C 0.000 0.000 0.500
C 0.500 0.000 0.000
```